{
  "formula": "LiTmBr4",
  "functional": "GGA-PBE",
  "state": "relaxed",
  "lattice_angstrom": [[-5.645, 1.222, 3.794], [2.459, -6.348, 1.520], [6.607, 6.024, 3.688]],
  "species": ["Li", "Li", "Tm", "Tm", "Br", "Br", "Br", "Br", "Br", "Br", "Br", "Br"],
  "frac_coords": [[0.337, 0.587, 0.174], [0.663, 0.413, 0.826], [0.825, 0.075, 0.150], [0.175, 0.925, 0.850], [0.323, 0.079, 0.653], [0.041, 0.802, 0.091], [0.170, 0.426, 0.347], [0.450, 0.711, 0.909], [0.677, 0.921, 0.347], [0.830, 0.574, 0.653], [0.959, 0.198, 0.909], [0.550, 0.289, 0.091]],
  "e_above_lowest_polymorph_mev_per_atom": 29.6,
  "e_form_raw_mev_per_atom": -1714,
  "magmom_total_mub_per_cell": 0.00,
  "space_group": "C2/c (15)",
  "final_energy_ev_per_cell": -46.7,
  "dos_ef_per_ev_atom": 0.00
}

=====

{
  "formula": "Pm5AgPd4",
  "functional": "GGA-PBE",
  "state": "relaxed",
  "lattice_angstrom": [[-1.305, -2.107, 2.633], [-2.028, -1.764, -2.418], [13.589, -11.856, -2.749]],
  "species": ["Pm", "Pm", "Pm", "Pm", "Pm", "Ag", "Pd", "Pd", "Pd", "Pd"],
  "frac_coords": [[0.500, 0.500, 0.107], [0.500, 0.500, 0.303], [0.500, 0.500, 0.500], [0.500, 0.500, 0.697], [0.500, 0.500, 0.893], [0.000, 0.000, 0.000], [0.000, 0.000, 0.203], [0.000, 0.000, 0.402], [0.000, 0.000, 0.598], [0.000, 0.000, 0.797]],
  "magmom_total_mub_per_cell": 0.00,
  "space_group": "P4/mmm (123)",
  "final_energy_ev_per_cell": -54.0,
  "delta_e_f_ev_per_atom": -0.665,
  "dos_ef_per_ev_atom": 0.80
}

=====

{
  "formula": "TlTe2Cl",
  "functional": "GGA-PBE",
  "state": "relaxed",
  "lattice_angstrom": [[-1.677, 5.978, -4.255], [-4.184, -5.355, 3.236], [-0.261, 1.758, 2.572]],
  "species": ["Cl", "Te", "Te", "Tl"],
  "frac_coords": [[0.000, 0.500, 0.500], [0.000, 0.000, 0.000], [0.500, 0.500, 0.000], [0.500, 0.000, 0.500]],
  "e_above_lowest_polymorph_mev_per_atom": 246.8,
  "e_form_raw_mev_per_atom": -155,
  "magmom_total_mub_per_cell": 0.00,
  "space_group": "Cmmm (65)",
  "final_energy_ev_per_cell": -11.1,
  "dos_ef_per_ev_atom": 0.45
}